(1)
VASP calculation (PBE) on crystalline Zr2Sc2Si at its relaxed geometry.

Cell lengths 7.0933, 7.0933, 4.4805 Å; angles 90.00, 90.00, 90.00 degrees
Space group P4/mbm (No. 127)
One atom of each set of equivalent atoms:
1 Zr 0.1488 0.3512 0.0000 x4
2 Sc 0.1554 0.6554 0.5000 x4
3 Si 0.0000 0.0000 0.0000 x2

raw total energy: -7.15 eV/atom
uncorrected formation energy: -116 meV/atom



(2)
VASP calculation (PBE) on crystalline TaMn3Pt12 at its relaxed geometry.

Cell lengths 3.9548, 3.9548, 15.7721 Å; angles 90.00, 90.00, 90.00 degrees
Space group P4/mmm (No. 123)
One atom of each set of equivalent atoms:
1 Ta 0.0000 0.0000 0.0000 x1
2 Mn 0.0000 0.0000 0.2549 x2
3 Mn 0.0000 0.0000 0.5000 x1
4 Pt 0.0000 0.5000 0.1246 x4
5 Pt 0.0000 0.5000 0.3762 x4
6 Pt 0.5000 0.5000 0.0000 x1
7 Pt 0.5000 0.5000 0.2509 x2
8 Pt 0.5000 0.5000 0.5000 x1

ΔH_f (0 K): -724 kJ/mol of formula units
raw total energy: -7.46 eV/atom



(3)
VASP calculation (PBE) on crystalline Zr2CuF11 at its relaxed geometry.

Cell lengths 8.0072, 10.2364, 10.0919 Å; angles 90.00, 90.00, 90.00 degrees
Space group Ibam (No. 72)
One atom of each set of equivalent atoms:
1 Zr 0.0743 0.1968 0.0000 x8
2 Cu 0.0000 0.5000 0.2500 x4
3 F 0.0000 0.0000 0.0000 x4
4 F 0.0135 0.3770 0.1253 x16
5 F 0.1676 0.1354 0.1665 x16
6 F 0.1870 0.2027 0.5000 x8

raw total energy: -5.89 eV/atom
uncorrected formation energy: -2910 meV/atom



(4)
VASP calculation (PBE) on crystalline Nb2SiI at its relaxed geometry.

Cell lengths 6.6304, 6.6304, 6.6304 Å; angles 90.00, 90.00, 90.00 degrees
Space group Fm-3m (No. 225)
One atom of each set of equivalent atoms:
1 Nb 0.2500 0.2500 0.2500 x8
2 Si 0.0000 0.0000 0.0000 x4
3 I 0.0000 0.0000 0.5000 x4

raw total energy: -6.50 eV/atom
uncorrected formation energy: 280 meV/atom
energy above the lowest structure with this stoichiometry: 0 meV/atom



Among the records above, which one has the highest raw total energy?
Zr2CuF11



Please write out number 2 again, unchanged.
VASP calculation (PBE) on crystalline TaMn3Pt12 at its relaxed geometry.

Cell lengths 3.9548, 3.9548, 15.7721 Å; angles 90.00, 90.00, 90.00 degrees
Space group P4/mmm (No. 123)
One atom of each set of equivalent atoms:
1 Ta 0.0000 0.0000 0.0000 x1
2 Mn 0.0000 0.0000 0.2549 x2
3 Mn 0.0000 0.0000 0.5000 x1
4 Pt 0.0000 0.5000 0.1246 x4
5 Pt 0.0000 0.5000 0.3762 x4
6 Pt 0.5000 0.5000 0.0000 x1
7 Pt 0.5000 0.5000 0.2509 x2
8 Pt 0.5000 0.5000 0.5000 x1

ΔH_f (0 K): -724 kJ/mol of formula units
raw total energy: -7.46 eV/atom



Which value of raw total energy does entry 1 give?
-7.15 eV/atom



raw total energy of number 2 (TaMn3Pt12)?
-7.46 eV/atom